No. 1
The following is a DFT calculation (PBE-GGA) of a geometry-optimized Ce2PmHg7 structure.

## Properties
**Calculated density**: 10.4 g cm⁻³
**Energy relative to the elements**: -194.8 meV/atom
**Uncorrected energy**: -20.68 eV per cell

```
Ce2PmHg7
1.0
5.144 0.000 0.000
-2.572 4.455 0.000
0.000 0.000 12.696
Ce Pm Hg
2 1 7
Cartesian
0.000 2.970 8.837
2.572 1.485 4.448
0.000 0.000 0.129
2.572 1.485 7.543
2.572 1.485 10.779
0.000 0.000 9.604
0.000 0.000 3.304
0.000 2.970 5.614
0.000 2.970 12.090
2.572 1.485 1.342
```

No. 2
The following is a DFT calculation (PBE-GGA) of a geometry-optimized Ce2PmHg4 structure.

## Properties
**Calculated density**: 9.5 g cm⁻³
**Energy relative to the elements**: -250.0 meV/atom
**Uncorrected energy**: -19.58 eV per cell

```
Ce2PmHg4
1.0
-3.448 -3.258 -2.356
3.819 -0.272 -5.213
1.959 -4.837 3.821
Hg Ce Pm
4 2 1
Cartesian
4.114 -3.637 -0.991
1.664 -1.472 -0.401
-0.744 -4.047 0.733
0.186 -1.765 -3.784
3.418 -1.258 -3.262
2.361 -3.851 1.870
1.165 -4.183 -1.874
```

No. 3
The following is a DFT calculation (PBE-GGA) of a geometry-optimized Ce2Pm3Hg7 structure.

## Properties
**Calculated density**: 10.2 g cm⁻³
**Energy relative to the elements**: -269.6 meV/atom
**Uncorrected energy**: -31.47 eV per cell

```
Ce2Pm3Hg7
1.0
5.446 0.000 0.000
0.000 5.243 0.000
0.000 -2.622 12.067
Ce Pm Hg
2 3 7
Cartesian
0.000 2.622 8.585
0.000 0.000 3.482
2.723 2.622 0.000
2.723 2.622 3.969
2.723 0.000 8.098
0.000 0.000 10.291
0.000 2.622 5.402
0.000 0.000 0.000
0.000 2.622 1.776
2.723 0.000 1.926
2.723 2.622 10.141
0.000 0.000 6.665
```

No. 4
The following is a DFT calculation (PBE-GGA) of a geometry-optimized Ce2PmHg6 structure.

## Properties
**Calculated density**: 11.8 g cm⁻³
**Energy relative to the elements**: -383.6 meV/atom
**Uncorrected energy**: -21.88 eV per cell

```
Ce2PmHg6
1.0
-1.414 -1.212 -2.867
6.944 -5.244 -1.209
-8.323 -4.067 1.752
Ce Pm Hg
2 1 6
Cartesian
0.912 -5.659 -2.134
-3.706 -4.863 -0.189
0.000 0.000 0.000
-0.697 -3.302 -0.302
-6.730 -3.721 -1.215
-2.096 -7.220 -2.021
1.603 -2.350 -1.835
3.936 -6.801 -1.109
3.927 -4.105 -2.240
```